[1]
# RbPdAu2 (PBE-GGA, relaxed)
data_RbPdAu2
_chemical_formula_sum 'Rb2 Pd2 Au4'
_symmetry_space_group_name_H-M 'P m m n'
_symmetry_Int_Tables_number 59
_cell_length_a 4.763
_cell_length_b 8.232
_cell_length_c 6.182
_cell_angle_alpha 90.00
_cell_angle_beta 90.00
_cell_angle_gamma 90.00
loop_
_symmetry_equiv_pos_as_xyz
'x,y,z'
'-x,-y,-z'
'-x+1/2,-y+1/2,z'
'x+1/2,y+1/2,-z'
'x+1/2,-y,-z'
'-x+1/2,y,z'
'-x,y+1/2,-z'
'x,-y+1/2,z'
loop_
_atom_site_label
_atom_site_type_symbol
_atom_site_fract_x
_atom_site_fract_y
_atom_site_fract_z
Rb1 Rb 0.250 0.250 0.026
Pd1 Pd 0.250 0.750 0.474
Au1 Au 0.250 0.081 0.521
# - offset from the most stable computed form (meV/atom) = 0.0

[2]
The following is a DFT calculation (PBE-GGA) of RbPd2Au after structural relaxation.

```
data_RbPd2Au
_chemical_formula_sum 'Rb3 Pd6 Au3'
_symmetry_space_group_name_H-M 'R -3 m'
_symmetry_Int_Tables_number 166
_symmetry_space_group_name_Hall '-R 3 2"'
_cell_length_a 4.6691
_cell_length_b 4.6691
_cell_length_c 17.8834
_cell_angle_alpha 90.00
_cell_angle_beta 90.00
_cell_angle_gamma 120.00
loop_
_atom_site_label
_atom_site_type_symbol
_atom_site_fract_x
_atom_site_fract_y
_atom_site_fract_z
Rb1 Rb 0.0000 0.0000 0.0000
Pd1 Pd 0.0000 0.0000 0.1782
Au1 Au 0.0000 0.0000 0.5000
```

[3]
The following is a DFT calculation (PBE-GGA) of Rb12PdAu6 after structural relaxation.

```
data_Rb12PdAu6
_chemical_formula_sum 'Rb24 Pd2 Au12'
_symmetry_space_group_name_H-M 'I m -3'
_symmetry_Int_Tables_number 204
_symmetry_space_group_name_Hall '-I 2 2 3'
_cell_length_a 12.072
_cell_length_b 12.072
_cell_length_c 12.072
_cell_angle_alpha 90.00
_cell_angle_beta 90.00
_cell_angle_gamma 90.00
loop_
_atom_site_label
_atom_site_type_symbol
_atom_site_fract_x
_atom_site_fract_y
_atom_site_fract_z
Rb1 Rb 0.000 0.176 0.300
Pd1 Pd 0.000 0.000 0.000
Au1 Au 0.000 0.379 0.500
```

[4]
# Rb2PdAu (PBE-GGA, relaxed)
data_Rb2PdAu
_chemical_formula_sum 'Rb8 Pd4 Au4'
_symmetry_space_group_name_H-M 'F m -3 m'
_symmetry_Int_Tables_number 225
_symmetry_space_group_name_Hall '-F 4 2 3'
_cell_length_a 8.148
_cell_length_b 8.148
_cell_length_c 8.148
_cell_angle_alpha 90.00
_cell_angle_beta 90.00
_cell_angle_gamma 90.00
loop_
_atom_site_label
_atom_site_type_symbol
_atom_site_fract_x
_atom_site_fract_y
_atom_site_fract_z
Rb1 Rb 0.250 0.250 0.250
Pd1 Pd 0.000 0.000 0.000
Au1 Au 0.000 0.000 0.500
# - offset from the most stable computed form (meV/atom) = 283.0

[5]
# RbPdAu2 (PBE-GGA, relaxed)
data_RbPdAu2
_chemical_formula_sum 'Rb4 Pd4 Au8'
_symmetry_space_group_name_H-M 'I 41/a m d'
_symmetry_Int_Tables_number 141
_cell_length_a 5.352
_cell_length_b 5.352
_cell_length_c 18.402
_cell_angle_alpha 90.00
_cell_angle_beta 90.00
_cell_angle_gamma 90.00
loop_
_symmetry_equiv_pos_as_xyz
'x,y,z'
'-x,-y,-z'
'-y+1/4,x+3/4,z+1/4'
'y+1/4,-x+3/4,-z+1/4'
'-x+1/2,-y,z+1/2'
'x+1/2,y,-z+1/2'
'y+1/4,-x+1/4,z+3/4'
'-y+1/4,x+1/4,-z+3/4'
'x,-y,-z'
'-x,y,z'
'-y+1/4,-x+1/4,-z+3/4'
'y+1/4,x+1/4,z+3/4'
'-x+1/2,y,-z+1/2'
'x+1/2,-y,z+1/2'
'y+1/4,x+3/4,-z+1/4'
'-y+1/4,-x+3/4,z+1/4'
'x+1/2,y+1/2,z+1/2'
'-x+1/2,-y+1/2,-z+1/2'
'-y+3/4,x+1/4,z+3/4'
'y+3/4,-x+1/4,-z+3/4'
'-x,-y+1/2,z'
'x,y+1/2,-z'
'y+3/4,-x+3/4,z+1/4'
'-y+3/4,x+3/4,-z+1/4'
'x+1/2,-y+1/2,-z+1/2'
'-x+1/2,y+1/2,z+1/2'
'-y+3/4,-x+3/4,-z+1/4'
'y+3/4,x+3/4,z+1/4'
'-x,y+1/2,-z'
'x,-y+1/2,z'
'y+3/4,x+1/4,-z+3/4'
'-y+3/4,-x+1/4,z+3/4'
loop_
_atom_site_label
_atom_site_type_symbol
_atom_site_fract_x
_atom_site_fract_y
_atom_site_fract_z
Rb1 Rb 0.000 0.250 0.375
Pd1 Pd 0.000 0.250 0.875
Au1 Au 0.000 0.000 0.000
# - offset from the most stable computed form (meV/atom) = 179.6

[6]
# Rb2PdAu2 (PBE-GGA, relaxed)
data_Rb2PdAu2
_chemical_formula_sum 'Rb4 Pd2 Au4'
_symmetry_space_group_name_H-M 'P 4/m b m'
_symmetry_Int_Tables_number 127
_symmetry_space_group_name_Hall '-P 4 2ab'
_cell_length_a 7.216
_cell_length_b 7.216
_cell_length_c 5.442
_cell_angle_alpha 90.00
_cell_angle_beta 90.00
_cell_angle_gamma 90.00
loop_
_atom_site_label
_atom_site_type_symbol
_atom_site_fract_x
_atom_site_fract_y
_atom_site_fract_z
Rb1 Rb 0.175 0.325 0.000
Pd1 Pd 0.000 0.000 0.500
Au1 Au 0.141 0.641 0.500
# - offset from the most stable computed form (meV/atom) = 110.8

[7]
The following is a DFT calculation (PBE-GGA) of RbPd2Au after structural relaxation.

```
data_RbPd2Au
_chemical_formula_sum 'Rb2 Pd4 Au2'
_symmetry_space_group_name_H-M 'P m m n'
_symmetry_Int_Tables_number 59
_cell_length_a 4.681
_cell_length_b 8.131
_cell_length_c 6.058
_cell_angle_alpha 90.00
_cell_angle_beta 90.00
_cell_angle_gamma 90.00
loop_
_symmetry_equiv_pos_as_xyz
'x,y,z'
'-x,-y,-z'
'-x+1/2,-y+1/2,z'
'x+1/2,y+1/2,-z'
'x+1/2,-y,-z'
'-x+1/2,y,z'
'-x,y+1/2,-z'
'x,-y+1/2,z'
loop_
_atom_site_label
_atom_site_type_symbol
_atom_site_fract_x
_atom_site_fract_y
_atom_site_fract_z
Rb1 Rb 0.250 0.250 0.000
Pd1 Pd 0.250 0.081 0.499
Au1 Au 0.250 0.750 0.500
```

[8]
# RbPdAu3 (PBE-GGA, relaxed)
data_RbPdAu3
_chemical_formula_sum 'Rb1 Pd1 Au3'
_symmetry_space_group_name_H-M 'P m -3 m'
_symmetry_Int_Tables_number 221
_symmetry_space_group_name_Hall '-P 4 2 3'
_cell_length_a 5.817
_cell_length_b 5.817
_cell_length_c 5.817
_cell_angle_alpha 90.00
_cell_angle_beta 90.00
_cell_angle_gamma 90.00
loop_
_atom_site_label
_atom_site_type_symbol
_atom_site_fract_x
_atom_site_fract_y
_atom_site_fract_z
Rb1 Rb 0.000 0.000 0.000
Pd1 Pd 0.500 0.500 0.500
Au1 Au 0.000 0.000 0.500
# - offset from the most stable computed form (meV/atom) = 1441.0

[9]
# Rb2PdAu2 (PBE-GGA, relaxed)
data_Rb2PdAu2
_chemical_formula_sum 'Rb4 Pd2 Au4'
_symmetry_space_group_name_H-M 'I m m m'
_symmetry_Int_Tables_number 71
_symmetry_space_group_name_Hall '-I 2 2'
_cell_length_a 4.788
_cell_length_b 5.636
_cell_length_c 10.827
_cell_angle_alpha 90.00
_cell_angle_beta 90.00
_cell_angle_gamma 90.00
loop_
_atom_site_label
_atom_site_type_symbol
_atom_site_fract_x
_atom_site_fract_y
_atom_site_fract_z
Rb1 Rb 0.000 0.000 0.199
Pd1 Pd 0.000 0.500 0.000
Au1 Au 0.000 0.254 0.500
# - offset from the most stable computed form (meV/atom) = 0.0

[10]
# RbPdAu (PBE-GGA, relaxed)
data_RbPdAu
_chemical_formula_sum 'Rb4 Pd4 Au4'
_symmetry_space_group_name_H-M 'I m m a'
_symmetry_Int_Tables_number 74
_symmetry_space_group_name_Hall '-I 2b 2'
_cell_length_a 5.811
_cell_length_b 5.862
_cell_length_c 8.175
_cell_angle_alpha 90.00
_cell_angle_beta 90.00
_cell_angle_gamma 90.00
loop_
_atom_site_label
_atom_site_type_symbol
_atom_site_fract_x
_atom_site_fract_y
_atom_site_fract_z
Rb1 Rb 0.000 0.250 0.127
Pd1 Pd 0.000 0.000 0.500
Au1 Au 0.250 0.250 0.750
# - offset from the most stable computed form (meV/atom) = 0.0

[11]
# Rb2PdAu (PBE-GGA, relaxed)
data_Rb2PdAu
_chemical_formula_sum 'Rb4 Pd2 Au2'
_symmetry_space_group_name_H-M 'C 1 m 1'
_symmetry_Int_Tables_number 8
_symmetry_space_group_name_Hall 'C -2y'
_cell_length_a 8.121
_cell_length_b 4.689
_cell_length_c 9.609
_cell_angle_alpha 90.00
_cell_angle_beta 106.20
_cell_angle_gamma 90.00
loop_
_atom_site_label
_atom_site_type_symbol
_atom_site_fract_x
_atom_site_fract_y
_atom_site_fract_z
Rb1 Rb 0.000 0.000 0.000
Rb2 Rb 0.160 0.000 0.484
Pd1 Pd 0.413 0.000 0.242
Au1 Au 0.247 0.500 0.242
# - offset from the most stable computed form (meV/atom) = 0.0

[12]
# Rb2PdAu (PBE-GGA, relaxed)
data_Rb2PdAu
_chemical_formula_sum 'Rb8 Pd4 Au4'
_symmetry_space_group_name_H-M 'I -4 2 d'
_symmetry_Int_Tables_number 122
_symmetry_space_group_name_Hall 'I -4 2bw'
_cell_length_a 11.807
_cell_length_b 11.807
_cell_length_c 5.315
_cell_angle_alpha 90.00
_cell_angle_beta 90.00
_cell_angle_gamma 90.00
loop_
_atom_site_label
_atom_site_type_symbol
_atom_site_fract_x
_atom_site_fract_y
_atom_site_fract_z
Rb1 Rb 0.082 0.750 0.125
Pd1 Pd 0.000 0.000 0.000
Au1 Au 0.000 0.000 0.500
# - offset from the most stable computed form (meV/atom) = 113.0

no.,formation energy (meV/atom),E_tot (eV/atom),density (g/cm3)
1,-189,-3.368,8.026
2,-90,-3.748,7.307
3,-128,-2.048,4.367
4,174,-2.427,5.824
5,-10,-3.188,7.381
6,-79,-2.816,7.869
7,-86,-3.744,7.134
8,1581,-1.617,6.604
9,-190,-2.927,7.631
10,-162,-3.307,9.275
11,-109,-2.710,4.484
12,4,-2.597,4.252